First-principles (PBE) data for a relaxed Ce3Pm2NdSb6 crystal, as listed in the Alexandria database.

Values from the calculation:
* D(E_F): 1.62 states/eV per atom
* ΔE_f (raw): -1120 meV/atom

Lattice parameters (Å, degrees): 7.797 7.797 7.798 99.60 99.60 119.99
Site moments in Bohr magnetons follow the coordinates.
Fractional coordinates of all 12 atoms:
Pm1 0.333 0.667 0.000  0.00
Sb1 0.916 0.582 0.748  -0.02
Pm2 0.667 0.333 0.000  0.00
Nd1 0.000 0.000 0.000  0.01
Ce1 0.834 0.166 0.500  0.73
Sb2 0.418 0.084 0.252  -0.02
Sb3 0.582 0.916 0.748  -0.02
Ce2 0.166 0.834 0.500  0.73
Sb4 0.749 0.749 0.252  -0.02
Sb5 0.251 0.251 0.748  -0.02
Sb6 0.084 0.418 0.252  -0.02
Ce3 0.500 0.500 0.500  0.73